VASP calculation (GGA-PBEsol) on a geometry-optimized Mn3PdSe structure. Values from VASP.

Geometry as Quantum ESPRESSO input:
```
&SYSTEM
  ibrav = 0, nat = 5, ntyp = 3
/
ATOMIC_SPECIES
Mn 54.94 Mn.upf
Se 78.96 Se.upf
Pd 106.42 Pd.upf
CELL_PARAMETERS angstrom
-0.754 2.040 3.851
-4.091 1.015 -1.339
-1.501 -3.790 1.714
ATOMIC_POSITIONS angstrom
Mn -0.751 -1.895 0.857
Se 0.000 0.000 0.000
Mn -2.045 0.508 -0.669
Mn -0.377 1.020 1.925
Pd -3.173 -0.368 2.113
```

Computed properties:
Calculated total energy   -7.132 eV/atom
M_tot   10.4 μB/f.u.
Density of states at the Fermi level   2.4 states/eV/f.u.
Density   6.72 g cm⁻³
SG   Pm-3m (221)


VASP calculation (GGA-PBEsol) on a geometry-optimized CuRh structure. Values from VASP.

Geometry as Quantum ESPRESSO input:
```
&SYSTEM
  ibrav = 0, nat = 4, ntyp = 2
/
ATOMIC_SPECIES
Rh 102.91 Rh.upf
Cu 63.55 Cu.upf
CELL_PARAMETERS angstrom
-2.204 -1.497 0.038
0.346 -0.575 -2.579
3.854 -5.631 1.773
ATOMIC_POSITIONS angstrom
Rh 1.605 -2.379 -0.631
Cu -0.660 -1.394 0.222
Cu 3.586 -5.273 0.281
Rh 1.320 -4.288 1.134
```

Computed properties:
Calculated formation energy   0.047 eV per atom
M_tot   0.0 μB/f.u.
Density of states at the Fermi level   2.0 states/eV/f.u.
Density   11.04 g cm⁻³
SG   P4/nmm (129)


VASP calculation (GGA-PBEsol) on a geometry-optimized Ba2BeCdTe structure. Values from VASP.

Geometry as Quantum ESPRESSO input:
```
&SYSTEM
  ibrav = 0, nat = 5, ntyp = 4
/
ATOMIC_SPECIES
Ba 137.33 Ba.upf
Te 127.60 Te.upf
Cd 112.41 Cd.upf
Be 9.01 Be.upf
CELL_PARAMETERS angstrom
4.523 0.000 0.000
0.000 6.288 0.000
0.000 0.000 6.288
ATOMIC_POSITIONS angstrom
Ba 0.000 0.000 3.144
Te 2.262 3.144 3.144
Cd 0.000 0.000 0.000
Ba 0.000 3.144 0.000
Be 2.262 0.000 0.000
```

Computed properties:
Calculated total energy   -2.842 eV/atom
M_tot   0.0 μB/f.u.
Density of states at the Fermi level   3.5 states/eV/f.u.
Density   4.86 g cm⁻³
SG   P4/mmm (123)


VASP calculation (GGA-PBEsol) on a geometry-optimized ZnHgBi3 structure. Values from VASP.

Geometry as Quantum ESPRESSO input:
```
&SYSTEM
  ibrav = 0, nat = 5, ntyp = 3
/
ATOMIC_SPECIES
Hg 200.59 Hg.upf
Bi 208.98 Bi.upf
Zn 65.41 Zn.upf
CELL_PARAMETERS angstrom
-1.358 -2.706 -4.762
5.122 1.112 -2.093
1.942 -4.826 2.188
ATOMIC_POSITIONS angstrom
Hg 0.000 0.000 0.000
Bi 0.971 -2.413 1.094
Bi -0.679 -1.353 -2.381
Bi 2.561 0.556 -1.046
Zn 2.853 -3.210 -2.333
```

Computed properties:
Calculated formation energy   0.848 eV per atom
M_tot   0.0 μB/f.u.
Density of states at the Fermi level   5.5 states/eV/f.u.
Density   8.25 g cm⁻³
SG   Pm-3m (221)